Record 1
Ag2As2Pb, relaxed, DFT PBE-GGA; DFT total energy = -3.57 eV/atom; polymorph energy (0 for the lowest one) = 79 meV per atom; magnetic moment = 0.00 μB per formula unit; N(E_F) = 1.85 states/eV/f.u.; calculated formation energy = 82 kJ/mol of formula units; ρ = 8.53 g/cm3
1.0
4.139 0.000 0.000
0.000 4.139 0.000
2.069 2.069 6.508
As Ag Pb
2 2 1
direct
0.750 0.250 0.500
0.250 0.750 0.500
0.606 0.606 0.788
0.394 0.394 0.212
0.000 0.000 0.000

---

Record 2
TaZnTe2N, relaxed, DFT PBE-GGA; formation energy (no corrections) = 1.100 eV per atom; DFT total energy = -4.45 eV/atom; polymorph energy (0 for the lowest one) = 935 meV per atom; magnetic moment = 0.59 μB per formula unit; N(E_F) = 4.17 states/eV/f.u.; ρ = 8.25 g/cm3
1.0
5.387 0.000 0.000
0.000 5.387 0.000
0.000 0.000 3.577
N Te Zn Ta
1 2 1 1
direct
0.000 0.000 0.500
0.500 0.000 0.000
0.000 0.500 0.000
0.000 0.000 0.000
0.500 0.500 0.500

---

Record 3
Hf5Ga2Pb, relaxed, DFT PBE-GGA; DFT total energy = -7.73 eV/atom; magnetic moment = 0.00 μB per formula unit; N(E_F) = 8.76 states/eV/f.u.; calculated formation energy = -225 kJ/mol of formula units; ρ = 12.44 g/cm3
1.0
6.584 0.000 -3.108
-1.467 6.418 -3.108
-0.210 -0.263 8.084
Hf Ga Pb
10 4 2
direct
0.994 0.494 0.298
0.506 0.696 0.702
0.696 0.196 0.702
0.196 0.006 0.702
0.000 0.000 0.000
0.500 0.500 0.000
0.494 0.304 0.298
0.804 0.994 0.298
0.006 0.506 0.702
0.304 0.804 0.298
0.641 0.141 0.000
0.141 0.359 0.000
0.359 0.859 0.000
0.859 0.641 0.000
0.750 0.750 0.500
0.250 0.250 0.500

---

Record 4
TcRhPb2, relaxed, DFT PBE-GGA; DFT total energy = -5.78 eV/atom; polymorph energy (0 for the lowest one) = 242 meV per atom; magnetic moment = 0.61 μB per formula unit; N(E_F) = 3.81 states/eV/f.u.; calculated formation energy = 195 kJ/mol of formula units; ρ = 12.82 g/cm3
1.0
4.617 -0.005 0.008
3.430 3.091 0.008
1.249 0.479 5.580
Pb Rh Tc
2 1 1
direct
0.001 0.001 0.000
0.499 0.499 0.500
0.750 0.750 0.750
0.250 0.250 0.250

---

Record 5
TlZnBr6, relaxed, DFT PBE-GGA; formation energy (no corrections) = -0.401 eV per atom; DFT total energy = -2.11 eV/atom; magnetic moment = 0.00 μB per formula unit; N(E_F) = 2.55 states/eV/f.u.; ρ = 4.57 g/cm3
1.0
7.270 0.002 3.186
3.640 4.347 1.590
2.465 -0.021 9.695
Br Zn Tl
6 1 1
direct
0.147 0.641 0.214
0.787 0.361 0.214
0.481 0.999 0.808
0.853 0.359 0.786
0.519 0.001 0.192
0.213 0.639 0.786
0.000 0.000 0.000
0.000 0.000 0.500

---

Record 6
KMo2As, relaxed, DFT PBE-GGA; DFT total energy = -6.03 eV/atom; magnetic moment = 0.00 μB per formula unit; N(E_F) = 5.82 states/eV/f.u.; calculated formation energy = 315 kJ/mol of formula units; ρ = 6.40 g/cm3
1.0
10.241 -0.007 -0.004
9.800 2.974 -0.004
9.800 1.451 2.596
K As Mo
1 1 2
direct
0.750 0.750 0.750
0.250 0.250 0.250
0.981 0.981 0.981
0.519 0.519 0.519

---

Q: Which value of DFT total energy does entry 4 give?
A: -5.78 eV/atom

---

Q: What is the formula in the second record?
A: TaZnTe2N